1.
Here is crystalline Ce3Sm2Tl6 at its relaxed geometry from Alexandria via LeMat-Bulk. Energies are from GGA-PBE.

Unit cell a=6.0266 b=6.0266 c=11.9649 alpha=104.59 beta=104.59 gamma=90.00
Last column: nearest neighbours and their distance in Å.
Element x y z (fractional)
Tl 0.9292 0.4292 0.8585  2 Sm 3.02, 1 Tl 3.16, 2 Ce 3.37
Sm 0.4234 0.4234 0.8468  5 Tl 3.02-3.15
Tl 0.4292 0.9292 0.8585  2 Sm 3.02, 1 Tl 3.16, 2 Ce 3.37
Ce 0.1379 0.1379 0.2757  1 Ce 3.08, 5 Tl 3.23-3.37
Tl 0.7175 0.7175 0.4349  1 Sm 3.15, 1 Ce 3.23
Tl 0.2825 0.2825 0.5651  1 Sm 3.15, 1 Ce 3.23
Ce 0.8621 0.8621 0.7243  1 Ce 3.08, 5 Tl 3.23-3.37
Tl 0.5708 0.0708 0.1415  2 Sm 3.02, 1 Tl 3.16, 2 Ce 3.37
Ce 0.0000 0.0000 0.0000  2 Ce 3.08, 8 Tl 3.40
Tl 0.0708 0.5708 0.1415  2 Sm 3.02, 1 Tl 3.16, 2 Ce 3.37
Sm 0.5766 0.5766 0.1532  5 Tl 3.02-3.15

Output
The calculation puts the density of states at the Fermi level at 2.444 states/eV/atom. For the energy of formation, the calculation gives 135 kJ/mol of formula units. As for the space group: I4/mmm, No. 139.

=====

2.
Here is crystalline Ce2Sm3Tl3 at its relaxed geometry from Alexandria via LeMat-Bulk. Energies are from GGA-PBE.

Unit cell a=4.5315 b=4.8967 c=10.9878 alpha=102.88 beta=101.90 gamma=90.00
Last column: nearest neighbours and their distance in Å.
Element x y z (fractional)
Tl 0.1280 0.1280 0.2560  4 Ce 3.32-3.63, 6 Sm 3.34-3.51, 2 Tl 3.63
Sm 0.5000 0.0000 0.0000  8 Tl 3.34-3.51, 4 Sm 3.51
Sm 0.3800 0.3800 0.7600  6 Tl 3.34-3.38, 2 Sm 3.51, 4 Ce 3.57-3.64
Ce 0.2559 0.7559 0.5119  4 Tl 3.32-3.63, 4 Ce 3.35, 4 Sm 3.57-3.64
Ce 0.7441 0.2441 0.4881  4 Tl 3.32-3.63, 4 Ce 3.35, 4 Sm 3.57-3.64
Tl 0.8720 0.8720 0.7440  4 Ce 3.32-3.63, 6 Sm 3.34-3.51, 2 Tl 3.63
Tl 0.0000 0.5000 0.0000  8 Sm 3.34-3.38, 4 Tl 3.63
Sm 0.6200 0.6200 0.2400  6 Tl 3.34-3.38, 2 Sm 3.51, 4 Ce 3.57-3.64

Output
The calculation puts the density of states at the Fermi level at 1.941 states/eV/atom. For the energy of formation, the calculation gives -176 kJ/mol of formula units. As for the space group: Immm, No. 71.

=====

3.
Here is crystalline CeSm3Tl3 at its relaxed geometry from Alexandria via LeMat-Bulk. Energies are from GGA-PBE.

Unit cell a=5.3300 b=9.6265 c=9.6265 alpha=120.00 beta=90.00 gamma=90.00
Last column: nearest neighbours and their distance in Å.
Element x y z (fractional)
Tl 0.2500 0.0725 0.4515  4 Sm 3.17-3.40, 2 Tl 3.35, 3 Ce 3.48-3.54
Sm 0.7500 0.2366 0.9994  4 Tl 3.17-3.40, 4 Sm 3.51
Sm 0.2500 0.9994 0.7628  4 Tl 3.17-3.40, 4 Sm 3.51
Tl 0.2500 0.3791 0.9275  4 Sm 3.17-3.40, 2 Tl 3.35, 3 Ce 3.48-3.54
Sm 0.7500 0.7628 0.7634  4 Tl 3.17-3.40, 4 Sm 3.51
Ce 0.7500 0.3333 0.6667  9 Tl 3.48-3.54, 3 Sm 3.76
Tl 0.7500 0.6209 0.0725  4 Sm 3.17-3.40, 2 Tl 3.35, 3 Ce 3.48-3.54
Tl 0.2500 0.5485 0.6209  4 Sm 3.17-3.40, 2 Tl 3.35, 3 Ce 3.48-3.54
Sm 0.2500 0.7634 0.0006  4 Tl 3.17-3.40, 4 Sm 3.51
Tl 0.7500 0.4515 0.3791  4 Sm 3.17-3.40, 2 Tl 3.35, 3 Ce 3.48-3.54
Tl 0.7500 0.9275 0.5485  4 Sm 3.17-3.40, 2 Tl 3.35, 3 Ce 3.48-3.54
Sm 0.2500 0.2372 0.2366  4 Tl 3.17-3.40, 4 Sm 3.51
Ce 0.2500 0.6667 0.3333  9 Tl 3.48-3.54, 3 Sm 3.76
Sm 0.7500 0.0006 0.2372  4 Tl 3.17-3.40, 4 Sm 3.51

Output
The calculation puts the density of states at the Fermi level at 1.965 states/eV/atom. For the energy of formation, the calculation gives -131 kJ/mol of formula units. As for the space group: P6_3/m, No. 176.

=====

4.
Here is crystalline CeSm2Tl4 at its relaxed geometry from Alexandria via LeMat-Bulk. Energies are from GGA-PBE.

Unit cell a=4.9337 b=4.9337 c=10.7575 alpha=76.74 beta=76.74 gamma=60.00
Last column: nearest neighbours and their distance in Å.
Element x y z (fractional)
Tl 0.2457 0.2457 0.2629  3 Tl 3.08, 3 Sm 3.12
Ce 0.0000 0.0000 0.0000  6 Tl 3.25
Tl 0.3834 0.3834 0.8499  3 Tl 3.08, 3 Ce 3.25
Tl 0.7543 0.7543 0.7371  3 Tl 3.08, 3 Sm 3.12
Tl 0.6166 0.6166 0.1501  3 Tl 3.08, 3 Ce 3.25
Sm 0.8712 0.8712 0.3865  3 Tl 3.12
Sm 0.1288 0.1288 0.6135  3 Tl 3.12

Output
The calculation puts the density of states at the Fermi level at 1.554 states/eV/atom. For the energy of formation, the calculation gives -74 kJ/mol of formula units. As for the space group: R-3m, No. 166.

=====

5.
Here is crystalline CeSm5Tl4 at its relaxed geometry from Alexandria via LeMat-Bulk. Energies are from GGA-PBE.

Unit cell a=8.7523 b=8.3190 c=9.3626 alpha=90.00 beta=90.00 gamma=90.00
Last column: nearest neighbours and their distance in Å.
Element x y z (fractional)
Sm 0.2691 0.2676 0.1957  4 Tl 3.19-3.38, 1 Ce 3.47
Tl 0.4381 0.8303 0.5000  1 Tl 2.82, 1 Ce 2.95
Sm 0.7309 0.2324 0.6957  4 Tl 3.19-3.38, 1 Ce 3.47
Tl 0.0094 0.0000 0.8360  1 Tl 3.07, 5 Sm 3.20-3.38, 1 Ce 3.24
Sm 0.7309 0.7676 0.6957  4 Tl 3.19-3.38, 1 Ce 3.47
Sm 0.2691 0.7324 0.1957  4 Tl 3.19-3.38, 1 Ce 3.47
Tl 0.5619 0.6697 0.0000  1 Tl 2.82, 1 Ce 2.95
Tl 0.5619 0.3303 0.0000  1 Tl 2.82, 1 Ce 2.95
Tl 0.9906 0.5000 0.3360  1 Tl 3.07, 5 Sm 3.20-3.38, 1 Ce 3.24
Tl 0.9906 0.5000 0.6640  1 Tl 3.07, 5 Sm 3.20-3.38, 1 Ce 3.24
Sm 0.2691 0.2676 0.8043  4 Tl 3.19-3.38, 1 Ce 3.47
Sm 0.0828 0.0000 0.5000  4 Tl 3.21-3.42
Tl 0.4381 0.1697 0.5000  1 Tl 2.82, 1 Ce 2.95
Sm 0.2691 0.7324 0.8043  4 Tl 3.19-3.38, 1 Ce 3.47
Sm 0.7309 0.7676 0.3043  4 Tl 3.19-3.38, 1 Ce 3.47
Tl 0.0094 0.0000 0.1640  1 Tl 3.07, 5 Sm 3.20-3.38, 1 Ce 3.24
Ce 0.3163 0.5000 0.5000  4 Tl 2.95-3.24
Sm 0.9172 0.5000 0.0000  4 Tl 3.21-3.42
Sm 0.7309 0.2324 0.3043  4 Tl 3.19-3.38, 1 Ce 3.47
Ce 0.6837 0.0000 0.0000  4 Tl 2.95-3.24

Output
The calculation puts the density of states at the Fermi level at 1.313 states/eV/atom. For the energy of formation, the calculation gives -5 kJ/mol of formula units. As for the space group: Pmmn, No. 59.

=====

6.
Here is crystalline CeSm5Tl6 at its relaxed geometry from Alexandria via LeMat-Bulk. Energies are from GGA-PBE.

Unit cell a=5.4923 b=7.6810 c=9.5229 alpha=66.22 beta=72.97 gamma=90.00
Last column: nearest neighbours and their distance in Å.
Element x y z (fractional)
Tl 0.1678 0.4211 0.6637  7 Sm 3.34-3.36, 1 Ce 3.39
Tl 0.8322 0.5789 0.3363  7 Sm 3.34-3.36, 1 Ce 3.39
Tl 0.5000 0.7439 0.0000  6 Sm 3.32-3.35, 2 Ce 3.38
Sm 0.3362 0.8358 0.3284  8 Tl 3.35-3.36
Tl 0.1678 0.9152 0.6636  7 Sm 3.34-3.36, 1 Ce 3.39
Sm 0.3328 0.3324 0.3352  8 Tl 3.34
Sm 0.6672 0.6676 0.6648  8 Tl 3.34
Ce 0.0000 0.0000 0.0000  8 Tl 3.38-3.39
Sm 0.0000 0.5000 0.0000  8 Tl 3.32-3.36
Sm 0.6638 0.1642 0.6716  8 Tl 3.35-3.36
Tl 0.5000 0.2561 0.0000  6 Sm 3.32-3.35, 2 Ce 3.38
Tl 0.8322 0.0848 0.3364  7 Sm 3.34-3.36, 1 Ce 3.39

Output
The calculation puts the density of states at the Fermi level at 1.367 states/eV/atom. For the energy of formation, the calculation gives -404 kJ/mol of formula units. As for the space group: C2/m, No. 12.